Model P:
Density functional theory data (GGA-PBE) for CsPm2CuSeS3 after structural relaxation.

a b c (Å): 4.1347 14.4791 14.2481
angles (deg): 90.00 90.00 90.00
Space group Cmcm (No. 63)
Symmetry-distinct sites (fractional):
Cs (0.0000, 0.1109, 0.2500) [4 per cell]
Pm (0.0000, 0.3656, 0.0564) [8 per cell]
Cu (0.0000, 0.1714, 0.7500) [4 per cell]
Se (0.0000, 0.4230, 0.2500) [4 per cell]
S (0.0000, 0.0000, 0.0000) [4 per cell]
S (0.0000, 0.2551, 0.6079) [8 per cell]

Computed properties:
Size of the total moment (μB/cell): 0.01

Model Q:
Density functional theory data (GGA-PBE) for CsPm2CuSeS3 after structural relaxation.

a b c (Å): 4.1530 14.5642 14.1111
angles (deg): 90.00 90.00 90.00
Space group Cmcm (No. 63)
Symmetry-distinct sites (fractional):
Cs (0.0000, 0.1029, 0.2500) [4 per cell]
Pm (0.0000, 0.3612, 0.0624) [8 per cell]
Cu (0.0000, 0.1671, 0.7500) [4 per cell]
Se (0.0000, 0.0000, 0.0000) [4 per cell]
S (0.0000, 0.2570, 0.6097) [8 per cell]
S (0.0000, 0.4155, 0.2500) [4 per cell]

Computed properties:
Size of the total moment (μB/cell): 0.01

Most stable: model Q (next structure +0.023 eV/atom)

Model P:
Density functional theory data (GGA-PBE) for CsPm2CuTeSe3 after structural relaxation.

a b c (Å): 4.3404 15.2698 14.7829
angles (deg): 90.00 90.00 90.00
Space group Cmcm (No. 63)
Symmetry-distinct sites (fractional):
Cs (0.0000, 0.1024, 0.2500) [4 per cell]
Pm (0.0000, 0.3571, 0.0653) [8 per cell]
Cu (0.0000, 0.1657, 0.7500) [4 per cell]
Te (0.0000, 0.0000, 0.0000) [4 per cell]
Se (0.0000, 0.2616, 0.6117) [8 per cell]
Se (0.0000, 0.4188, 0.2500) [4 per cell]

Computed properties:
Size of the total moment (μB/cell): 0.00

Model Q:
Density functional theory data (GGA-PBE) for CsPm2CuTeSe3 after structural relaxation.

a b c (Å): 4.3148 15.0808 15.0332
angles (deg): 90.00 90.00 90.00
Space group Cmcm (No. 63)
Symmetry-distinct sites (fractional):
Cs (0.0000, 0.1216, 0.2500) [4 per cell]
Pm (0.0000, 0.3663, 0.0547) [8 per cell]
Cu (0.0000, 0.1665, 0.7500) [4 per cell]
Te (0.0000, 0.4310, 0.2500) [4 per cell]
Se (0.0000, 0.0000, 0.0000) [4 per cell]
Se (0.0000, 0.2548, 0.6076) [8 per cell]

Computed properties:
Size of the total moment (μB/cell): 0.00

Most stable: model P (next structure +0.025 eV/atom)

Model P:
Density functional theory data (GGA-PBE) for CsPm2CuTe3Se after structural relaxation.

a b c (Å): 4.4244 15.6951 15.3780
angles (deg): 90.00 90.00 90.00
Space group Cmcm (No. 63)
Symmetry-distinct sites (fractional):
Cs (0.0000, 0.0937, 0.2500) [4 per cell]
Pm (0.0000, 0.3651, 0.0701) [8 per cell]
Cu (0.0000, 0.1625, 0.7500) [4 per cell]
Te (0.0000, 0.0000, 0.0000) [4 per cell]
Te (0.0000, 0.2661, 0.6138) [8 per cell]
Se (0.0000, 0.4181, 0.2500) [4 per cell]

Computed properties:
Size of the total moment (μB/cell): 0.00

Model Q:
Density functional theory data (GGA-PBE) for CsPm2CuTe3Se after structural relaxation.

a b c (Å): 4.3978 15.5369 15.7216
angles (deg): 90.00 90.00 90.00
Space group Cmcm (No. 63)
Symmetry-distinct sites (fractional):
Cs (0.0000, 0.1141, 0.2500) [4 per cell]
Pm (0.0000, 0.3751, 0.0594) [8 per cell]
Cu (0.0000, 0.1642, 0.7500) [4 per cell]
Te (0.0000, 0.2584, 0.6088) [8 per cell]
Te (0.0000, 0.4291, 0.2500) [4 per cell]
Se (0.0000, 0.0000, 0.0000) [4 per cell]

Computed properties:
Size of the total moment (μB/cell): 0.00

Most stable: model P (next structure +0.024 eV/atom)

Model P:
Density functional theory data (GGA-PBE) for CsCuPtW after structural relaxation.

a b c (Å): 6.7022 6.7022 6.7022
angles (deg): 90.00 90.00 90.00
Space group F-43m (No. 216)
Symmetry-distinct sites (fractional):
Cs (0.0000, 0.0000, 0.0000) [4 per cell]
Cu (0.0000, 0.0000, 0.5000) [4 per cell]
Pt (0.2500, 0.2500, 0.7500) [4 per cell]
W (0.2500, 0.2500, 0.2500) [4 per cell]

Computed properties:
Size of the total moment (μB/cell): 0.63

Model Q:
Density functional theory data (GGA-PBE) for CsCuPtW after structural relaxation.

a b c (Å): 6.6766 6.6766 6.6766
angles (deg): 90.00 90.00 90.00
Space group F-43m (No. 216)
Symmetry-distinct sites (fractional):
Cs (0.0000, 0.0000, 0.0000) [4 per cell]
Cu (0.2500, 0.2500, 0.2500) [4 per cell]
Pt (0.0000, 0.0000, 0.5000) [4 per cell]
W (0.2500, 0.2500, 0.7500) [4 per cell]

Computed properties:
Size of the total moment (μB/cell): 0.00

Model R:
Density functional theory data (GGA-PBE) for CsCuPtW after structural relaxation.

a b c (Å): 7.0015 7.0015 7.0015
angles (deg): 90.00 90.00 90.00
Space group F-43m (No. 216)
Symmetry-distinct sites (fractional):
Cs (0.0000, 0.0000, 0.0000) [4 per cell]
Cu (0.2500, 0.2500, 0.7500) [4 per cell]
Pt (0.2500, 0.2500, 0.2500) [4 per cell]
W (0.0000, 0.0000, 0.5000) [4 per cell]

Computed properties:
Size of the total moment (μB/cell): 13.89

Most stable: model Q (next structure +0.172 eV/atom)

Model P:
Density functional theory data (GGA-PBE) for CsPuCu after structural relaxation.

a b c (Å): 8.3485 8.3485 8.3485
angles (deg): 90.00 90.00 90.00
Space group F-43m (No. 216)
Symmetry-distinct sites (fractional):
Cs (0.0000, 0.0000, 0.0000) [4 per cell]
Pu (0.2500, 0.2500, 0.7500) [4 per cell]
Cu (0.0000, 0.0000, 0.5000) [4 per cell]

Computed properties:
Size of the total moment (μB/cell): 26.69

Model Q:
Density functional theory data (GGA-PBE) for CsPuCu after structural relaxation.

a b c (Å): 6.9576 6.9576 6.9576
angles (deg): 90.00 90.00 90.00
Space group F-43m (No. 216)
Symmetry-distinct sites (fractional):
Cs (0.0000, 0.0000, 0.0000) [4 per cell]
Pu (0.2500, 0.2500, 0.7500) [4 per cell]
Cu (0.2500, 0.2500, 0.2500) [4 per cell]

Computed properties:
Size of the total moment (μB/cell): 2.15

Most stable: model P (next structure +1.066 eV/atom)

Model P:
Density functional theory data (GGA-PBE) for CsRbCu after structural relaxation.

a b c (Å): 8.7761 8.7761 8.7761
angles (deg): 90.00 90.00 90.00
Space group F-43m (No. 216)
Symmetry-distinct sites (fractional):
Cs (0.0000, 0.0000, 0.0000) [4 per cell]
Rb (0.0000, 0.0000, 0.5000) [4 per cell]
Cu (0.2500, 0.2500, 0.2500) [4 per cell]

Model Q:
Density functional theory data (GGA-PBE) for CsRbCu after structural relaxation.

a b c (Å): 8.8736 8.8736 8.8736
angles (deg): 90.00 90.00 90.00
Space group F-43m (No. 216)
Symmetry-distinct sites (fractional):
Cs (0.0000, 0.0000, 0.0000) [4 per cell]
Rb (0.2500, 0.2500, 0.2500) [4 per cell]
Cu (0.2500, 0.2500, 0.7500) [4 per cell]

Most stable: model P (next structure +0.223 eV/atom)